NaYSi: optimized geometry, GGA-PBE.

a b c (Å): 7.2984 4.3553 8.9897
angles (deg): 90.00 90.00 90.00
Last column: nearest neighbours and their distance in Å.
Element x y z (fractional)
Y1 0.9457 0.2500 0.8285  5 Si 2.97-3.23
Y2 0.5543 0.7500 0.3285  5 Si 2.97-3.23
Y3 0.0543 0.7500 0.1715  5 Si 2.97-3.23
Y4 0.4457 0.2500 0.6715  5 Si 2.97-3.23
Na1 0.8707 0.2500 0.4520  4 Si 2.89-3.11, 2 Na 3.01
Na2 0.6293 0.7500 0.9520  4 Si 2.89-3.11, 2 Na 3.01
Na3 0.1293 0.7500 0.5480  4 Si 2.89-3.11, 2 Na 3.01
Na4 0.3707 0.2500 0.0480  4 Si 2.89-3.11, 2 Na 3.01
Si1 0.2815 0.2500 0.3615  4 Na 2.89-3.11, 5 Y 2.97-3.23
Si2 0.2185 0.7500 0.8615  4 Na 2.89-3.11, 5 Y 2.97-3.23
Si3 0.7185 0.7500 0.6385  4 Na 2.89-3.11, 5 Y 2.97-3.23
Si4 0.7815 0.2500 0.1385  4 Na 2.89-3.11, 5 Y 2.97-3.23

Calculated values
magnetization: 0.0 μB per cell
formation energy from raw total energies: -297 meV/atom
space-group type: Pnma (62)

***

NaYSi: optimized geometry, GGA-PBE.

a b c (Å): 4.6755 4.6755 9.0405
angles (deg): 90.00 90.00 120.00
Last column: nearest neighbours and their distance in Å.
Element x y z (fractional)
Y1 0.3333 0.6667 0.2479  3 Si 2.88
Y2 0.3333 0.6667 0.7521  3 Si 2.88
Na1 0.6667 0.3333 0.0000  6 Y 3.51
Na2 0.6667 0.3333 0.5000  6 Si 2.98
Si1 0.0000 0.0000 0.3592  1 Si 2.55
Si2 0.0000 0.0000 0.6408  1 Si 2.55

Calculated values
magnetization: 0.0 μB per cell
formation energy from raw total energies: 50 meV/atom
space-group type: P-6m2 (187)

***

NaYSi: optimized geometry, GGA-PBE.

a b c (Å): 4.1915 4.1915 8.1790
angles (deg): 90.00 90.00 90.00
Last column: nearest neighbours and their distance in Å.
Element x y z (fractional)
Y1 0.0000 0.5000 0.6386  5 Si 2.91-3.03
Y2 0.5000 0.0000 0.3614  5 Si 2.91-3.03
Na1 0.0000 0.0000 0.0000  4 Na 2.96, 4 Si 3.12
Na2 0.5000 0.5000 0.0000  4 Na 2.96, 4 Si 3.12
Si1 0.0000 0.5000 0.2834  5 Y 2.91-3.03, 4 Na 3.12
Si2 0.5000 0.0000 0.7166  5 Y 2.91-3.03, 4 Na 3.12

Calculated values
magnetization: 0.0 μB per cell
formation energy from raw total energies: -331 meV/atom
space-group type: P4/nmm (129)

***

NaYSi: optimized geometry, GGA-PBE.

a b c (Å): 4.8607 4.8611 6.8206
angles (deg): 90.00 90.00 60.00
Last column: nearest neighbours and their distance in Å.
Element x y z (fractional)
Y1 0.5406 0.9189 0.6025  6 Si 3.10-3.22, 4 Na 3.15-3.47
Y2 0.8739 0.2521 0.9217  3 Si 2.87, 3 Na 3.18
Na1 0.5407 0.9186 0.1401  3 Na 3.02, 4 Y 3.15-3.18, 3 Si 3.36
Na2 0.2073 0.5853 0.3046  4 Si 2.90-3.20, 3 Na 3.02
Si1 0.8740 0.2521 0.4105  3 Na 2.90, 3 Y 3.10
Si2 0.2072 0.5855 0.8348  3 Y 2.87, 1 Na 3.20

Calculated values
magnetization: 0.0 μB per cell
formation energy from raw total energies: -228 meV/atom
space-group type: P3m1 (156)

***

NaY2Si: optimized geometry, GGA-PBE.

a b c (Å): 8.3132 8.3132 6.7802
angles (deg): 52.19 52.19 90.00
Last column: nearest neighbours and their distance in Å.
Element x y z (fractional)
Y1 0.6724 0.1250 0.2500  2 Si 2.81
Y2 0.0776 0.6250 0.2500  2 Si 2.81
Y3 0.3750 0.3276 0.7500  2 Si 2.81
Y4 0.8750 0.9224 0.7500  2 Si 2.81
Na1 0.5000 0.5000 0.0000  8 Y 3.34-3.68, 2 Si 3.38
Na2 0.2500 0.7500 0.5000  8 Y 3.34-3.68, 2 Si 3.38
Si1 0.0000 0.0000 0.0000  4 Y 2.81
Si2 0.7500 0.2500 0.5000  4 Y 2.81

Calculated values
magnetization: 0.0 μB per cell
formation energy from raw total energies: 87 meV/atom
space-group type: I-42d (122)

***

NaYSi3: optimized geometry, GGA-PBE.

a b c (Å): 5.3688 5.3688 5.3688
angles (deg): 90.00 90.00 90.00
Last column: nearest neighbours and their distance in Å.
Element x y z (fractional)
Y1 0.0000 0.0000 0.0000  6 Si 2.68
Na1 0.5000 0.5000 0.5000  12 Si 3.80
Si1 0.0000 0.5000 0.0000  2 Y 2.68
Si2 0.0000 0.0000 0.5000  2 Y 2.68
Si3 0.5000 0.0000 0.0000  2 Y 2.68

Calculated values
E above lowest polymorph: 0 meV per atom
magnetization: 0.0 μB per cell
formation energy from raw total energies: 772 meV/atom
space-group type: Pm-3m (221)

***

NaYSi: optimized geometry, GGA-PBE.

a b c (Å): 9.9202 5.5273 5.5273
angles (deg): 125.33 137.57 42.43
Last column: nearest neighbours and their distance in Å.
Element x y z (fractional)
Y1 0.7936 0.5143 0.4857  4 Si 2.93-3.08, 3 Na 3.09-3.22
Y2 0.2064 0.4857 0.5143  4 Si 2.93-3.08, 3 Na 3.09-3.22
Na1 0.2740 0.7542 0.2458  2 Na 2.80-3.04, 2 Si 3.00, 2 Y 3.09
Na2 0.7260 0.2458 0.7542  2 Na 2.80-3.04, 2 Si 3.00, 2 Y 3.09
Si1 0.3274 0.0484 0.9516  1 Si 2.69, 2 Y 2.93-2.95, 2 Na 3.00
Si2 0.6726 0.9516 0.0484  1 Si 2.69, 2 Y 2.93-2.95, 2 Na 3.00

Calculated values
magnetization: 0.0 μB per cell
formation energy from raw total energies: -200 meV/atom
space-group type: C2/m (12)

***

NaYSi: optimized geometry, GGA-PBE.

a b c (Å): 4.1618 4.1618 8.8995
angles (deg): 76.48 76.48 90.00
Last column: nearest neighbours and their distance in Å.
Element x y z (fractional)
Y1 0.8195 0.8195 0.3610  5 Si 2.93-3.00
Y2 0.1805 0.1805 0.6390  5 Si 2.93-3.00
Na1 0.0000 0.5000 0.0000  4 Na 2.94, 4 Si 3.20
Na2 0.5000 0.0000 0.0000  4 Na 2.94, 4 Si 3.20
Si1 0.3550 0.3550 0.2900  5 Y 2.93-3.00, 4 Na 3.20
Si2 0.6450 0.6450 0.7100  5 Y 2.93-3.00, 4 Na 3.20

Calculated values
magnetization: 0.0 μB per cell
formation energy from raw total energies: -309 meV/atom
space-group type: I4/mmm (139)

***

NaYSi3: optimized geometry, GGA-PBE.

a b c (Å): 4.8293 4.8293 4.8293
angles (deg): 90.00 90.00 90.00
Last column: nearest neighbours and their distance in Å.
Element x y z (fractional)
Y1 0.5000 0.5000 0.5000  12 Si 3.41
Na1 0.0000 0.0000 0.0000  6 Si 2.41
Si1 0.0000 0.5000 0.0000  2 Na 2.41
Si2 0.0000 0.0000 0.5000  2 Na 2.41
Si3 0.5000 0.0000 0.0000  2 Na 2.41

Calculated values
E above lowest polymorph: 72 meV per atom
magnetization: 0.0 μB per cell
formation energy from raw total energies: 843 meV/atom
space-group type: Pm-3m (221)

***

Na2YSi: optimized geometry, GGA-PBE.

a b c (Å): 4.1821 4.1821 12.4718
angles (deg): 80.35 80.35 90.00
Last column: nearest neighbours and their distance in Å.
Element x y z (fractional)
Y1 0.0000 0.0000 0.0000  4 Si 2.96
Y2 0.7500 0.2500 0.5000  4 Si 2.96
Na1 0.5968 0.1250 0.2500  4 Na 2.80-3.13
Na2 0.1532 0.6250 0.2500  4 Na 2.80-3.13
Na3 0.3750 0.4032 0.7500  4 Na 2.80-3.13
Na4 0.8750 0.8468 0.7500  4 Na 2.80-3.13
Si1 0.5000 0.5000 0.0000  4 Y 2.96
Si2 0.2500 0.7500 0.5000  4 Y 2.96

Calculated values
magnetization: 0.0 μB per cell
formation energy from raw total energies: 38 meV/atom
space-group type: I-42d (122)

***

Na2YSi2: optimized geometry, GGA-PBE.

a b c (Å): 4.1279 4.1279 7.2558
angles (deg): 73.47 73.47 90.00
Last column: nearest neighbours and their distance in Å.
Element x y z (fractional)
Y1 0.0000 0.0000 0.0000  8 Si 3.14
Na1 0.7500 0.2500 0.5000  4 Na 2.92, 4 Si 2.99
Na2 0.2500 0.7500 0.5000  4 Na 2.92, 4 Si 2.99
Si1 0.4130 0.4130 0.1740  1 Si 2.31
Si2 0.5870 0.5870 0.8260  1 Si 2.31

Calculated values
E above lowest polymorph: 0 meV per atom
magnetization: 0.0 μB per cell
formation energy from raw total energies: -164 meV/atom
space-group type: I4/mmm (139)

***

NaYSi2: optimized geometry, GGA-PBE.

a b c (Å): 7.7302 7.7302 6.2110
angles (deg): 51.52 51.52 90.00
Last column: nearest neighbours and their distance in Å.
Element x y z (fractional)
Y1 0.0000 0.0000 0.0000  4 Si 2.89, 2 Na 2.95
Y2 0.7500 0.2500 0.5000  4 Si 2.89, 2 Na 2.95
Na1 0.5000 0.5000 0.0000  4 Si 2.77, 2 Y 2.95
Na2 0.2500 0.7500 0.5000  4 Si 2.77, 2 Y 2.95
Si1 0.6141 0.1250 0.2500  2 Na 2.77, 2 Y 2.89, 2 Si 2.95
Si2 0.1359 0.6250 0.2500  2 Na 2.77, 2 Y 2.89, 2 Si 2.95
Si3 0.3750 0.3859 0.7500  2 Na 2.77, 2 Y 2.89, 2 Si 2.95
Si4 0.8750 0.8641 0.7500  2 Na 2.77, 2 Y 2.89, 2 Si 2.95

Calculated values
magnetization: 0.0 μB per cell
formation energy from raw total energies: 221 meV/atom
space-group type: I-42d (122)

***

NaYSi: optimized geometry, GGA-PBE.

a b c (Å): 4.8504 4.8504 4.8504
angles (deg): 60.00 60.00 60.00
Last column: nearest neighbours and their distance in Å.
Element x y z (fractional)
Y1 0.7500 0.7500 0.7500  4 Si 2.97
Na1 0.2500 0.2500 0.2500  4 Si 2.97
Si1 0.5000 0.5000 0.5000  4 Na 2.97, 4 Y 2.97

Calculated values
magnetization: 0.0 μB per cell
formation energy from raw total energies: -220 meV/atom
space-group type: F-43m (216)